No. 1
# V2TcMo | the Alexandria database | GGA-PBE | optimized geometry
# * total DFT energy (no corrections): -9.355 eV/atom
# * relative energy among the computed polymorphs: 772 meV per atom
data_V2TcMo
_cell_length_a 6.7915
_cell_length_b 6.7915
_cell_length_c 5.2883
_cell_angle_alpha 90.00
_cell_angle_beta 90.00
_cell_angle_gamma 90.00
_space_group_name_H-M_alt 'I -4 2 d'
_space_group_IT_number 122
_space_group_name_Hall 'I -4 2bw'
loop_
_atom_site_label
_atom_site_type_symbol
_atom_site_fract_x
_atom_site_fract_y
_atom_site_fract_z
V1 V 0.2413 0.2500 0.1250
Tc1 Tc 0.0000 0.0000 0.0000
Mo1 Mo 0.0000 0.0000 0.5000

***

No. 2
# Pm3YGa3 | the Alexandria database | GGA-PBE | optimized geometry
# * total DFT energy (no corrections): -4.654 eV/atom
data_Pm3YGa3
_cell_length_a 9.3803
_cell_length_b 9.3803
_cell_length_c 4.8212
_cell_angle_alpha 90.00
_cell_angle_beta 90.00
_cell_angle_gamma 120.00
_space_group_name_H-M_alt 'P 63/m'
_space_group_IT_number 176
_space_group_name_Hall '-P 6c'
loop_
_atom_site_label
_atom_site_type_symbol
_atom_site_fract_x
_atom_site_fract_y
_atom_site_fract_z
Pm1 Pm 0.0193 0.7591 0.2500
Y1 Y 0.3333 0.6667 0.7500
Ga1 Ga 0.0585 0.4532 0.2500

***

| no. | formation enthalpy at 0 K (meV/atom) | density (g/cm³) |
| --- | --- | --- |
| 1 | 504 | 8.1 |
| 2 | -398 | 6.6 |